# Th2ScRh5Au

An optimized crystal structure of Th2ScRh5Au (PBE-GGA, the Alexandria database).

```
18
Lattice="-4.197 4.197 5.370 4.197 -4.197 5.370 4.197 4.197 -5.370" Properties=species:S:1:pos:R:3 pbc="T T T"
Th 5.362 1.165 0.000
Th 1.165 3.032 0.000
Th 3.032 1.165 5.370
Th -1.165 3.032 5.370
Sc 0.000 0.000 2.685
Sc 0.000 0.000 8.055
Rh 0.000 0.000 0.000
Rh 2.567 1.629 -1.480
Rh 2.567 -1.629 3.890
Rh 2.567 1.629 1.480
Rh 2.567 -1.629 6.850
Rh 0.000 0.000 5.370
Rh 1.629 5.826 -1.480
Rh 1.629 2.567 3.890
Rh 1.629 5.826 1.480
Rh 1.629 2.567 6.850
Au 4.197 0.000 2.685
Au 0.000 4.197 2.685
```

- formation energy (eV per atom) = -0.283
- V (A^3/atom) = 21.0
- Fermi-level density of states (states/eV/atom) = 1.07
- M_tot (μB per atom) = 0.0000
- space group = I4/mcm, No. 140